# TmUSb2

TmUSb2 after structural relaxation (PBE, the Alexandria database).

Structure (POSCAR):
```
TmUSb2
1.0
4.207 -0.313 -0.889
-1.970 3.829 -0.216
-0.585 0.131 7.644
U Sb Tm
1 2 1
direct
0.500 0.250 0.750
0.997 0.498 0.495
0.003 0.002 0.005
0.500 0.750 0.250
```

Properties
Crystal system   trigonal
SG   No. 166
DOS(E_F)   0.92 states/eV/atom
Energy relative to the elements, uncorrected   -241 kJ/mol of formula units

# BC2

BC2 after structural relaxation (PBE, the Alexandria database).

Structure (POSCAR):
```
BC2
1.0
-1.038 -2.189 0.714
-0.685 -0.455 -2.388
10.385 -5.553 -1.921
B C
4 8
direct
0.500 0.500 0.495
0.000 0.500 0.748
0.500 0.000 0.918
0.500 0.500 0.172
0.000 0.000 0.654
0.000 0.500 0.408
0.000 0.500 0.081
0.000 0.000 0.013
0.000 0.000 0.333
0.500 0.000 0.259
0.500 0.000 0.586
0.500 0.500 0.833
```

Properties
Crystal system   tetragonal
SG   No. 115
DOS(E_F)   0.27 states/eV/atom
ΔE_f   307 meV/atom

# Ce2PrYAs4

Ce2PrYAs4 after structural relaxation (PBE, the Alexandria database).

Structure (POSCAR):
```
Ce2PrYAs4
1.0
4.218 0.000 0.000
0.000 7.297 -0.141
0.000 2.571 6.841
As Ce Pr Y
4 2 1 1
direct
0.000 0.246 0.257
0.500 0.750 0.255
0.000 0.754 0.743
0.500 0.250 0.745
0.000 0.000 0.000
0.500 0.000 0.500
0.500 0.500 0.000
0.000 0.500 0.500
```

Properties
Crystal system   monoclinic
SG   No. 10
DOS(E_F)   1.35 states/eV/atom
ΔE_f   -1476 meV/atom

# Pm2Y3Er9

Pm2Y3Er9 after structural relaxation (PBE, the Alexandria database).

Structure (POSCAR):
```
Pm2Y3Er9
1.0
-3.210 1.426 0.500
0.618 1.755 11.573
5.247 11.844 12.533
Er Y Pm
9 3 2
direct
0.640 0.648 0.071
0.425 0.921 0.231
0.791 0.292 0.125
0.147 0.130 0.576
0.209 0.708 0.875
0.575 0.079 0.769
0.853 0.870 0.424
0.000 0.500 0.500
0.360 0.352 0.929
0.000 0.000 0.000
0.781 0.776 0.662
0.219 0.224 0.338
0.579 0.536 0.307
0.421 0.464 0.693
```

Properties
Crystal system   triclinic
SG   No. 2
DOS(E_F)   1.76 states/eV/atom
ΔE_f   36 meV/atom

# NbFeCo2

NbFeCo2 after structural relaxation (PBE, the Alexandria database).

Structure (POSCAR):
```
NbFeCo2
1.0
-2.444 -2.532 0.589
2.568 -2.477 0.005
1.030 -1.485 8.700
Fe Nb Co
2 2 4
direct
0.250 0.750 0.500
0.500 0.500 0.000
0.000 0.000 0.000
0.750 0.250 0.500
0.375 0.414 0.750
0.586 0.125 0.250
0.164 0.625 0.250
0.875 0.836 0.750
```

Properties
Crystal system   tetragonal
SG   No. 122
DOS(E_F)   1.46 states/eV/atom
ΔE_f   439 meV/atom

# Nb2SbAu

Nb2SbAu after structural relaxation (PBE, the Alexandria database).

Structure (POSCAR):
```
Nb2SbAu
1.0
-0.360 0.778 -4.412
2.586 -3.091 -0.756
-3.166 -2.599 -0.200
Sb Nb Au
1 2 1
direct
0.500 0.000 0.000
0.000 0.500 0.000
0.000 0.000 0.500
0.500 0.500 0.500
```

Properties
Crystal system   tetragonal
SG   No. 123
DOS(E_F)   0.60 states/eV/atom
Energy relative to the elements, uncorrected   -10 kJ/mol of formula units

# YAl2P

YAl2P after structural relaxation (PBE, the Alexandria database).

Structure (POSCAR):
```
YAl2P
1.0
7.629 0.000 0.000
0.000 7.629 0.000
3.814 3.814 2.808
P Y Al
2 2 4
direct
0.250 0.750 0.500
0.500 0.500 0.000
0.750 0.250 0.500
0.000 0.000 0.000
0.375 0.434 0.750
0.184 0.625 0.250
0.875 0.816 0.750
0.566 0.125 0.250
```

Properties
Crystal system   tetragonal
SG   No. 122
DOS(E_F)   0.62 states/eV/atom
ΔE_f   -379 meV/atom

# Mo2PCl

Mo2PCl after structural relaxation (PBE, the Alexandria database).

Structure (POSCAR):
```
Mo2PCl
1.0
3.066 0.000 0.000
0.000 3.066 0.000
0.000 0.000 7.895
Cl P Mo
1 1 2
direct
0.500 0.500 0.821
0.000 0.000 0.394
0.000 0.000 0.027
0.500 0.500 0.258
```

Properties
Crystal system   tetragonal
SG   No. 99
DOS(E_F)   0.54 states/eV/atom
Energy relative to the elements, uncorrected   -34 kJ/mol of formula units

# IrC4

IrC4 after structural relaxation (PBE, the Alexandria database).

Structure (POSCAR):
```
IrC4
1.0
-1.391 -3.675 0.216
-3.467 1.796 0.497
2.007 0.929 -3.255
C Ir
4 1
direct
0.750 0.250 0.500
0.624 0.624 0.000
0.250 0.750 0.500
0.376 0.376 0.000
0.000 0.000 0.000
```

Properties
Crystal system   tetragonal
SG   No. 139
DOS(E_F)   0.44 states/eV/atom
ΔE_f   2643 meV/atom